Density functional theory data (GGA-PBEsol) for crystalline Na2LiTe2 at its relaxed geometry.

Output
Magnetization: 0.00 μB/f.u.
Uncorrected formation energy: -0.6278 eV per atom

Structure (extended XYZ):
```
10
Lattice="-0.465 -1.657 -3.016 6.627 -5.462 1.979 -5.688 -5.491 3.893" Properties=species:S:1:pos:R:3 pbc="T T T"
Na -2.488 -6.898 4.173
Na 2.295 -8.211 4.157
Na 3.427 -4.055 1.699
Na -1.355 -2.742 1.715
Te -2.908 -5.538 1.491
Te -0.399 -9.045 3.032
Te 3.382 -7.073 1.365
Te 0.874 -3.565 -0.175
Li 0.000 0.000 0.000
Li 0.470 -5.477 2.936
```

Density functional theory data (GGA-PBEsol) for crystalline CsTaCoO2F4 at its relaxed geometry.

Output
Magnetization: 3.00 μB/f.u.
Uncorrected formation energy: -2.5308 eV per atom

Structure (extended XYZ):
```
18
Lattice="-5.427 -3.912 3.239 4.535 -5.676 0.507 2.065 6.515 2.918" Properties=species:S:1:pos:R:3 pbc="T T T"
Cs 0.464 0.494 1.374
Cs 3.577 -1.445 4.130
F 0.604 -3.677 4.982
F -2.091 -1.294 3.462
F 0.089 -2.435 2.164
F -0.264 -6.390 3.704
F -1.266 1.320 4.426
F 3.697 1.265 2.769
F 1.935 3.480 2.458
F 0.436 -0.960 4.559
Co 1.492 -5.313 4.356
Co -0.780 -2.569 4.138
O 2.376 -2.723 0.574
O 1.412 1.501 4.178
O -1.856 -4.082 3.614
O 1.790 -4.627 2.577
Ta -1.813 -5.650 2.699
Ta 0.951 -3.904 1.138
```

Density functional theory data (GGA-PBEsol) for crystalline Be2HgTe at its relaxed geometry.

Output
Magnetization: 0.00 μB/f.u.
Uncorrected formation energy: 0.3893 eV per atom

Structure (extended XYZ):
```
4
Lattice="-1.097 1.858 2.757 -2.877 -2.073 0.252 4.893 -3.489 2.076" Properties=species:S:1:pos:R:3 pbc="T T T"
Be 0.399 -0.494 0.491
Be -0.329 -2.411 1.494
Te 0.895 -0.858 3.158
Hg 2.859 -3.539 3.523
```